Record 1
The following is a PBE calculation of a relaxed structure of NaNb2AsH, from the Alexandria database.

Cell lengths 4.8982, 5.5164, 4.8982 Å; angles 90.00, 90.00, 90.00 degrees
Closest atoms and distances in Å follow each position.
Element x y z (fractional)
Na1 0.0000 0.5000 0.0000  2 As 2.76
Nb1 0.0000 0.0000 0.5000  2 As 2.45
Nb2 0.5000 0.0000 0.0000  2 As 2.45
As1 0.0000 0.0000 0.0000  4 Nb 2.45
H1 0.5000 0.5000 0.5000  4 Na 3.46, 8 Nb 3.69

Computed properties:
magnetization = 3.06 μB/cell

---

Record 2
The following is a PBE calculation of a relaxed structure of Sr2TlCd10, from the Alexandria database.

Cell lengths 6.1604, 10.0761, 12.9247 Å; angles 90.00, 90.00, 60.29 degrees
Closest atoms and distances in Å follow each position.
Element x y z (fractional)
Sr1 0.4948 0.3092 0.8594  13 Cd 3.42-3.71, 1 Tl 3.62
Sr2 0.5052 0.6908 0.1406  13 Cd 3.42-3.71, 1 Tl 3.62
Sr3 0.4948 0.8092 0.6406  13 Cd 3.42-3.71, 1 Tl 3.62
Sr4 0.5052 0.1908 0.3594  13 Cd 3.42-3.71, 1 Tl 3.62
Tl1 0.0000 0.5000 0.5000  12 Cd 3.24-3.59, 2 Sr 3.62
Tl2 0.0000 0.0000 0.0000  12 Cd 3.24-3.59, 2 Sr 3.62
Cd1 0.0564 0.1282 0.4911  5 Cd 2.97-3.27
Cd2 0.9436 0.8718 0.5089  5 Cd 2.97-3.27
Cd3 0.0564 0.6282 0.0089  5 Cd 2.97-3.27
Cd4 0.9436 0.3718 0.9911  5 Cd 2.97-3.27
Cd5 0.1421 0.1313 0.7975  5 Cd 2.94-3.27, 1 Tl 3.24
Cd6 0.8579 0.8687 0.2025  5 Cd 2.94-3.27, 1 Tl 3.24
Cd7 0.3908 0.1083 0.0917  5 Cd 2.98-3.06, 1 Tl 3.32
Cd8 0.4103 0.6781 0.8811  4 Cd 2.97-3.04
Cd9 0.5897 0.8219 0.3811  4 Cd 2.97-3.04
Cd10 0.6092 0.3917 0.5917  5 Cd 2.98-3.06, 1 Tl 3.32
Cd11 0.6092 0.8917 0.9083  5 Cd 2.98-3.06, 1 Tl 3.32
Cd12 0.5897 0.3219 0.1189  4 Cd 2.97-3.04
Cd13 0.4103 0.1781 0.6189  4 Cd 2.97-3.04
Cd14 0.3908 0.6083 0.4083  5 Cd 2.98-3.06, 1 Tl 3.32
Cd15 0.1193 0.0351 0.2611  5 Cd 2.94-3.08
Cd16 0.8807 0.9649 0.7389  5 Cd 2.94-3.08
Cd17 0.1193 0.5351 0.2389  5 Cd 2.94-3.08
Cd18 0.8807 0.4649 0.7611  5 Cd 2.94-3.08
Cd19 0.8579 0.3687 0.2975  5 Cd 2.94-3.27, 1 Tl 3.24
Cd20 0.1421 0.6313 0.7025  5 Cd 2.94-3.27, 1 Tl 3.24

Computed properties:
energy of formation from the pure elements = -161 meV per atom
magnetization = 0.00 μB/cell

---

no.,calculated volume (Å³ per cell),DFT total energy (eV/atom)
1,132.4,-4.637
2,696.8,-1.305